1.
# Sr2PIr

Crystalline Sr2PIr at its relaxed geometry (GGA-PBE, Alexandria).

a b c (Å): 4.9810 4.9810 4.9810
angles (deg): 60.00 60.00 60.00
Positions (direct):
1 Sr 0.0000 0.0000 0.0000
2 Sr 0.2500 0.2500 0.2500
3 P 0.7500 0.7500 0.7500
4 Ir 0.5000 0.5000 0.5000

Computed properties:
E_form ... -17 meV/atom
Energy ... -17.70 eV for the cell shown
D(E_F) ... 1.0 states/eV/f.u.



2.
# SrPIr2

Crystalline SrPIr2 at its relaxed geometry (GGA-PBE, Alexandria).

a b c (Å): 8.4710 8.4710 8.4710
angles (deg): 145.68 145.68 49.32
Positions (direct):
1 Sr 0.0000 0.0000 0.0000
2 Sr 0.7500 0.2500 0.5000
3 P 0.2500 0.7500 0.5000
4 P 0.5000 0.5000 0.0000
5 Ir 0.3231 0.6250 0.1981
6 Ir 0.3750 0.5731 0.6981
7 Ir 0.4269 0.1250 0.8019
8 Ir 0.8750 0.6769 0.3019

Computed properties:
E_form ... -353 meV/atom
Energy ... -52.45 eV for the cell shown
D(E_F) ... 4.2 states/eV/f.u.



3.
# SrTcP2Ir

Crystalline SrTcP2Ir at its relaxed geometry (GGA-PBE, Alexandria).

a b c (Å): 6.3837 6.3837 6.3837
angles (deg): 142.65 142.65 53.86
Positions (direct):
1 Sr 0.0000 0.0000 0.0000
2 Tc 0.2500 0.7500 0.5000
3 P 0.3530 0.3530 0.0000
4 P 0.6470 0.6470 0.0000
5 Ir 0.7500 0.2500 0.5000

Computed properties:
E_form ... -866 meV/atom
Energy above the most stable polymorph in this dataset ... 0 kJ/mol of formula units
Energy ... -36.06 eV for the cell shown
D(E_F) ... 2.2 states/eV/f.u.